Record 1
Here is crystalline KPb2 at its relaxed geometry from the Alexandria database. Energies are from PBE.

Cell lengths 5.6914, 5.6914, 3.6257 Å; angles 90.00, 90.00, 120.00 degrees
Space group P-3m1 (No. 164)
Symmetry-distinct sites (fractional):
K: 0.0000 0.0000 0.0000 (multiplicity 1)
Pb: 0.3333 0.6667 0.4256 (multiplicity 2)

Summary:
- E above lowest polymorph: 90 meV per atom
- E_form: -10 kJ per mole of atoms

---

Record 2
Here is crystalline K3Pb13 at its relaxed geometry from the Alexandria database. Energies are from PBE.

Cell lengths 9.756, 10.441, 10.499 Å; angles 90.00, 90.00, 90.00 degrees
Space group Amm2 (No. 38)
Symmetry-distinct sites (fractional):
K: 0.000 0.000 0.000 (multiplicity 2)
K: 0.251 0.000 0.270 (multiplicity 4)
Pb: 0.000 0.000 0.526 (multiplicity 2)
Pb: 0.000 0.237 0.741 (multiplicity 4)
Pb: 0.253 0.000 0.758 (multiplicity 4)
Pb: 0.254 0.240 0.526 (multiplicity 8)
Pb: 0.500 0.000 0.000 (multiplicity 2)
Pb: 0.500 0.000 0.523 (multiplicity 2)
Pb: 0.500 0.236 0.752 (multiplicity 4)

Summary:
- E_form: -4 kJ per mole of atoms

---

Record 3
Here is crystalline KPdPb at its relaxed geometry from the Alexandria database. Energies are from PBE.

Cell lengths 3.524, 7.311, 8.141 Å; angles 116.57, 102.43, 90.00 degrees
Space group P-1 (No. 2)
Symmetry-distinct sites (fractional):
K: 0.148 0.146 0.294 (multiplicity 2)
Pd: 0.500 0.298 0.000 (multiplicity 2)
Pb: 0.119 0.619 0.239 (multiplicity 2)

Summary:
- E_form: -14 kJ per mole of atoms